DFT (PBE) results for a relaxed Ca2TbHg3 crystal.

ρ (kg/m³): 8683
ΔH_f (0 K) (eV/atom): -0.5341
Crystal system: tetragonal
SG: P4/mmm

Cell lengths 3.7923, 3.7923, 11.1811 Å; angles 90.00, 90.00, 90.00 degrees
With the nearest neighbours (Å) after each atom.
Atoms (fractional coordinates):
Ca 0.5000 0.5000 0.1681  8 Hg 3.27-3.31
Ca 0.5000 0.5000 0.8319  8 Hg 3.27-3.31
Hg 0.0000 0.0000 0.0000  8 Ca 3.27
Hg 0.0000 0.0000 0.3416  4 Tb 3.21, 4 Ca 3.31, 1 Hg 3.54
Tb 0.5000 0.5000 0.5000  8 Hg 3.21
Hg 0.0000 0.0000 0.6584  4 Tb 3.21, 4 Ca 3.31, 1 Hg 3.54

***

DFT (PBE) results for a relaxed SrTaSe2Br crystal.

ρ (kg/m³): 6217
Crystal system: tetragonal
SG: P4/mmm
Uncorrected formation energy (meV per atom): -858

Cell lengths 5.0932, 5.0932, 5.2137 Å; angles 90.00, 90.00, 90.00 degrees
With the nearest neighbours (Å) after each atom.
Atoms (fractional coordinates):
Sr 0.5000 0.5000 0.5000  4 Br 3.60, 8 Se 3.64
Se 0.5000 0.0000 0.0000  2 Ta 2.55
Ta 0.0000 0.0000 0.0000  4 Se 2.55, 2 Br 2.61
Br 0.0000 0.0000 0.5000  2 Ta 2.61
Se 0.0000 0.5000 0.0000  2 Ta 2.55

***

DFT (PBE) results for a relaxed Ba2YRe crystal.

ρ (kg/m³): 7161
ΔH_f (0 K) (eV/atom): 1.0601
Crystal system: monoclinic
SG: P2/m

Cell lengths 5.3491, 3.8660, 6.5449 Å; angles 70.38, 90.00, 90.00 degrees
With the nearest neighbours (Å) after each atom.
Atoms (fractional coordinates):
Ba 0.0000 0.4028 0.4748  2 Re 3.20, 3 Ba 3.25-3.52
Y 0.5000 0.7500 0.7500  2 Re 3.19
Ba 0.0000 0.0972 0.0252  2 Re 3.20, 3 Ba 3.25-3.52
Re 0.5000 0.2500 0.2500  2 Y 3.19, 4 Ba 3.20

***

DFT (PBE) results for a relaxed Y2Be3ZnNi12 crystal.

ρ (kg/m³): 6945
ΔH_f (0 K) (eV/atom): -0.0057
Crystal system: trigonal
SG: R-3m

Cell lengths 6.1702, 6.1702, 6.1702 Å; angles 85.72, 85.72, 85.72 degrees
With the nearest neighbours (Å) after each atom.
Atoms (fractional coordinates):
Y 0.3034 0.3034 0.3034  9 Ni 2.59-2.78, 3 Be 2.89
Ni 0.7035 0.1849 0.1849  1 Be 2.19, 3 Ni 2.31-2.40, 1 Zn 2.35
Ni 0.1849 0.1849 0.7035  1 Be 2.19, 3 Ni 2.31-2.40, 1 Zn 2.35
Ni 0.4013 0.4013 0.8718  2 Ni 2.31-2.50
Ni 0.1282 0.5987 0.5987  2 Ni 2.31-2.50
Ni 0.1849 0.7035 0.1849  1 Be 2.19, 3 Ni 2.31-2.40, 1 Zn 2.35
Ni 0.8151 0.8151 0.2965  1 Be 2.19, 3 Ni 2.31-2.40, 1 Zn 2.35
Zn 0.0000 0.0000 0.0000  6 Ni 2.35
Ni 0.4013 0.8718 0.4013  2 Ni 2.31-2.50
Be 0.5000 0.0000 0.0000  2 Ni 2.19
Y 0.6966 0.6966 0.6966  9 Ni 2.59-2.78, 3 Be 2.89
Ni 0.5987 0.5987 0.1282  2 Ni 2.31-2.50
Ni 0.8151 0.2965 0.8151  1 Be 2.19, 3 Ni 2.31-2.40, 1 Zn 2.35
Ni 0.5987 0.1282 0.5987  2 Ni 2.31-2.50
Be 0.0000 0.5000 0.0000  2 Ni 2.19
Ni 0.2965 0.8151 0.8151  1 Be 2.19, 3 Ni 2.31-2.40, 1 Zn 2.35
Be 0.0000 0.0000 0.5000  2 Ni 2.19
Ni 0.8718 0.4013 0.4013  2 Ni 2.31-2.50

***

DFT (PBE) results for a relaxed ZrAg3Sn crystal.

ρ (kg/m³): 6824
ΔH_f (0 K) (eV/atom): 0.7924
Crystal system: cubic
SG: Pm-3m

Cell lengths 5.0636, 5.0636, 5.0636 Å; angles 90.00, 90.00, 90.00 degrees
With the nearest neighbours (Å) after each atom.
Atoms (fractional coordinates):
Ag 0.5000 0.0000 0.0000  2 Sn 2.53
Ag 0.0000 0.5000 0.0000  2 Sn 2.53
Ag 0.0000 0.0000 0.5000  2 Sn 2.53
Zr 0.5000 0.5000 0.5000  12 Ag 3.58
Sn 0.0000 0.0000 0.0000  6 Ag 2.53

***

DFT (PBE) results for a relaxed Tl4SBrF crystal.

ρ (kg/m³): 7054
Crystal system: monoclinic
SG: P2_1/m
Uncorrected formation energy (meV per atom): -848

Cell lengths 7.1451, 7.1689, 9.2299 Å; angles 90.00, 109.18, 90.00 degrees
With the nearest neighbours (Å) after each atom.
Atoms (fractional coordinates):
Tl 0.4492 0.7500 0.5858  1 F 2.59, 1 S 2.87
Tl 0.4007 0.7500 0.1305  1 F 2.58
S 0.2622 0.2500 0.5692  4 Tl 2.87-3.03
F 0.1927 0.7500 0.3116  4 Tl 2.52-2.59
Br 0.7550 0.7500 0.9496  4 Tl 3.35-3.46, 1 F 3.75
Tl 0.9433 0.4899 0.2721  1 F 2.52
Tl 0.9433 0.0101 0.2721  1 F 2.52
Tl 0.5993 0.2500 0.8695  1 F 2.58
Br 0.2450 0.2500 0.0504  4 Tl 3.35-3.46, 1 F 3.75
Tl 0.0567 0.9899 0.7279  1 F 2.52
Tl 0.0567 0.5101 0.7279  1 F 2.52
F 0.8073 0.2500 0.6884  4 Tl 2.52-2.59
S 0.7378 0.7500 0.4308  4 Tl 2.87-3.03
Tl 0.5508 0.2500 0.4142  1 F 2.59, 1 S 2.87

***

DFT (PBE) results for a relaxed Tb4AlCd2Ag crystal.

ρ (kg/m³): 8158
ΔH_f (0 K) (eV/atom): -0.3280
Crystal system: trigonal
SG: R-3m

Cell lengths 5.2257, 5.2257, 9.0826 Å; angles 73.28, 73.28, 60.00 degrees
With the nearest neighbours (Å) after each atom.
Atoms (fractional coordinates):
Al 0.0000 0.0000 0.0000  8 Tb 3.20
Tb 0.3745 0.3745 0.8766  4 Cd 3.17-3.20, 3 Al 3.20, 1 Ag 3.23
Tb 0.1244 0.1244 0.6268  1 Al 3.20, 4 Cd 3.21-3.26, 3 Ag 3.21
Cd 0.2511 0.2511 0.2467  8 Tb 3.17-3.26
Tb 0.6255 0.6255 0.1234  4 Cd 3.17-3.20, 3 Al 3.20, 1 Ag 3.23
Tb 0.8756 0.8756 0.3732  1 Al 3.20, 4 Cd 3.21-3.26, 3 Ag 3.21
Ag 0.5000 0.5000 0.5000  8 Tb 3.21-3.23
Cd 0.7489 0.7489 0.7533  8 Tb 3.17-3.26

***

DFT (PBE) results for a relaxed Mg2TeMo crystal.

ρ (kg/m³): 5684
Crystal system: tetragonal
SG: P4mm
Uncorrected formation energy (meV per atom): 101

Cell lengths 3.5470, 3.5470, 6.3192 Å; angles 90.00, 90.00, 90.00 degrees
With the nearest neighbours (Å) after each atom.
Atoms (fractional coordinates):
Mg 0.0000 0.0000 0.0036  4 Mg 3.01, 4 Te 3.08, 2 Mo 3.12-3.20
Mg 0.5000 0.5000 0.2660  1 Te 2.87, 4 Mo 2.95, 4 Mg 3.01
Te 0.5000 0.5000 0.7200  4 Mo 2.84, 5 Mg 2.87-3.08
Mo 0.0000 0.0000 0.5104  4 Te 2.84, 5 Mg 2.95-3.12

***

DFT (PBE) results for a relaxed AcYSeO6 crystal.

ρ (kg/m³): 6005
Crystal system: trigonal
SG: P312
Uncorrected formation energy (meV per atom): -2199

Cell lengths 5.4957, 5.4957, 5.1895 Å; angles 90.00, 90.00, 60.00 degrees
With the nearest neighbours (Å) after each atom.
Atoms (fractional coordinates):
O 0.3396 0.0560 0.7051  1 Se 1.85
O 0.0559 0.3396 0.2949  1 Se 1.85
O 0.3396 0.6044 0.2949  1 Se 1.85
O 0.0559 0.6045 0.7051  1 Se 1.85
O 0.6044 0.3396 0.7051  1 Se 1.85
O 0.6044 0.0559 0.2949  1 Se 1.85
Se 0.3333 0.3333 0.5000  6 O 1.85
Ac 0.0000 0.0000 0.0000  6 O 2.55
Y 0.6666 0.6667 0.5000  6 O 2.26

***

DFT (PBE) results for a relaxed NaCu2HCl6 crystal.

ρ (kg/m³): 2339
VASP energy (eV/cell): -61.7
Crystal system: monoclinic
SG: C2/c

Cell lengths 7.4312, 9.0776, 9.0776 Å; angles 73.72, 67.54, 67.54 degrees
With the nearest neighbours (Å) after each atom.
Atoms (fractional coordinates):
Cl 0.5117 0.7224 0.3837  1 H 1.56
Cl 0.9626 0.2184 0.4113  2 Cu 2.27-2.29
Cu 0.8206 0.6445 0.7641  4 Cl 2.22-2.30
Cl 0.4626 0.4113 0.2184  2 Cu 2.27-2.29
Cl 0.8284 0.0507 0.1944  1 Cu 2.22
Cu 0.6794 0.2359 0.3555  4 Cl 2.22-2.30
Cu 0.1794 0.3555 0.2359  4 Cl 2.22-2.30
Cl 0.0374 0.7816 0.5887  2 Cu 2.27-2.29
Cl 0.5374 0.5887 0.7816  2 Cu 2.27-2.29
Cl 0.1716 0.9493 0.8056  1 Cu 2.22
Cl 0.0117 0.3837 0.7224  1 H 1.56
Cl 0.6716 0.8056 0.9493  1 Cu 2.22
Cl 0.9883 0.6163 0.2776  1 H 1.56
Cl 0.3284 0.1944 0.0507  1 Cu 2.22
H 0.7500 0.6607 0.3393  2 Cl 1.56
H 0.2500 0.3393 0.6607  2 Cl 1.56
Na 0.7500 0.1011 0.8989  4 Cl 2.79-2.84
Cl 0.4883 0.2776 0.6163  1 H 1.56
Na 0.2500 0.8989 0.1011  4 Cl 2.79-2.84
Cu 0.3206 0.7641 0.6445  4 Cl 2.22-2.30

***

DFT (PBE) results for a relaxed RbNbNi3 crystal.

ρ (kg/m³): 5333
ΔH_f (0 K) (eV/atom): 1.0724
Crystal system: cubic
SG: Pm-3m

Cell lengths 4.7967, 4.7967, 4.7967 Å; angles 90.00, 90.00, 90.00 degrees
With the nearest neighbours (Å) after each atom.
Atoms (fractional coordinates):
Ni 0.5000 0.0000 0.0000  2 Nb 2.40
Nb 0.0000 0.0000 0.0000  6 Ni 2.40
Ni 0.0000 0.0000 0.5000  2 Nb 2.40
Ni 0.0000 0.5000 0.0000  2 Nb 2.40
Rb 0.5000 0.5000 0.5000  12 Ni 3.39

***

DFT (PBE) results for a relaxed La6HoCd5 crystal.

ρ (kg/m³): 6967
ΔH_f (0 K) (eV/atom): -0.2415
Crystal system: monoclinic
SG: P2/m

Cell lengths 5.5752, 7.8711, 8.9223 Å; angles 90.00, 108.22, 90.00 degrees
With the nearest neighbours (Å) after each atom.
Atoms (fractional coordinates):
La 0.8297 0.7506 0.6570  7 Cd 3.38-3.54, 1 Ho 3.51
La 0.1703 0.2494 0.3430  7 Cd 3.38-3.54, 1 Ho 3.51
Cd 0.0000 0.5000 0.0000  8 La 3.34-3.51
Ho 0.0000 0.0000 0.0000  8 La 3.49-3.51, 4 Cd 3.82-3.83
Cd 0.6646 0.5000 0.3335  8 La 3.37-3.42
La 0.1703 0.7506 0.3430  7 Cd 3.38-3.54, 1 Ho 3.51
Cd 0.6530 0.0000 0.3091  8 La 3.36-3.54
Cd 0.3470 0.0000 0.6909  8 La 3.36-3.54
La 0.5000 0.7334 0.0000  6 Cd 3.34-3.37, 2 Ho 3.49, 1 La 3.67
Cd 0.3354 0.5000 0.6665  8 La 3.37-3.42
La 0.5000 0.2666 0.0000  6 Cd 3.34-3.37, 2 Ho 3.49, 1 La 3.67
La 0.8297 0.2494 0.6570  7 Cd 3.38-3.54, 1 Ho 3.51

***

Please write out number 6 again, unchanged.
DFT (PBE) results for a relaxed Tl4SBrF crystal.

ρ (kg/m³): 7054
Crystal system: monoclinic
SG: P2_1/m
Uncorrected formation energy (meV per atom): -848

Cell lengths 7.1451, 7.1689, 9.2299 Å; angles 90.00, 109.18, 90.00 degrees
With the nearest neighbours (Å) after each atom.
Atoms (fractional coordinates):
Tl 0.4492 0.7500 0.5858  1 F 2.59, 1 S 2.87
Tl 0.4007 0.7500 0.1305  1 F 2.58
S 0.2622 0.2500 0.5692  4 Tl 2.87-3.03
F 0.1927 0.7500 0.3116  4 Tl 2.52-2.59
Br 0.7550 0.7500 0.9496  4 Tl 3.35-3.46, 1 F 3.75
Tl 0.9433 0.4899 0.2721  1 F 2.52
Tl 0.9433 0.0101 0.2721  1 F 2.52
Tl 0.5993 0.2500 0.8695  1 F 2.58
Br 0.2450 0.2500 0.0504  4 Tl 3.35-3.46, 1 F 3.75
Tl 0.0567 0.9899 0.7279  1 F 2.52
Tl 0.0567 0.5101 0.7279  1 F 2.52
F 0.8073 0.2500 0.6884  4 Tl 2.52-2.59
S 0.7378 0.7500 0.4308  4 Tl 2.87-3.03
Tl 0.5508 0.2500 0.4142  1 F 2.59, 1 S 2.87